A relaxed Sr2YAg crystal, computed with PBE.

abc: 4.7109 5.6183 5.2704
angles: 90.00 90.00 90.00
Closest atoms and distances in Å follow each position.
Positions (direct):
Ag 0.0000 0.5000 0.5000  8 Sr 3.53-3.85, 4 Y 3.67
Sr 0.0000 0.0000 0.0000  4 Y 3.53, 4 Sr 3.67, 4 Ag 3.85
Sr 0.5000 0.5000 0.0000  4 Ag 3.53, 4 Sr 3.67, 4 Y 3.85
Y 0.5000 0.0000 0.5000  8 Sr 3.53-3.85, 4 Ag 3.67

polymorph energy (0 for the lowest one) = 239 meV per atom
spin magnetization = 0.000 μB per formula unit